Material: Na2WF7
Method: DFT, GGA+U
State: relaxed

a b c (Å): 12.6286 6.3187 8.8375
angles (deg): 90.00 126.88 90.00
With the nearest neighbours (Å) after each atom.
Space group C2/c (No. 15)
Symmetry-distinct sites (fractional):
Na1 0.1924 0.0896 0.2895 [8 per cell]  6 F 2.33-2.49
W1 0.0000 0.3647 0.7500 [4 per cell]  7 F 1.98-2.02
F1 0.0000 0.0490 0.7500 [4 per cell]  1 W 1.99
F2 0.0825 0.3149 0.0212 [8 per cell]  1 W 1.98
F3 0.1187 0.3827 0.3685 [8 per cell]  1 W 2.00
F4 0.1610 0.2822 0.7670 [8 per cell]  1 W 2.02

Spin magnetization in μB/atom: 0.100
Crystal system: monoclinic
Calculated total energy in eV/cell: -202.5
Calculated volume in A^3/atom: 14.102